Here is a relaxed Pu3Fe3Si crystal from Alexandria. Energies are from PBE-GGA.

```
Pu3Fe3Si
1.0
2.077 -4.370 0.000
2.077 4.370 0.000
0.000 0.000 13.775
Pu Fe Si
6 6 2
Direct
0.017 0.983 0.750 Pu
0.293 0.707 0.107 Pu
0.293 0.707 0.393 Pu
0.707 0.293 0.607 Pu
0.707 0.293 0.893 Pu
0.983 0.017 0.250 Pu
0.342 0.658 0.750 Fe
0.423 0.577 0.582 Fe
0.423 0.577 0.918 Fe
0.577 0.423 0.082 Fe
0.577 0.423 0.418 Fe
0.658 0.342 0.250 Fe
0.000 0.000 0.000 Si
0.000 0.000 0.500 Si
```

Results
**Mass density**: 12.32 Mg/m³
**Magnetization**: 10.9 μB/f.u.
**Uncorrected formation energy**: -3.20 kcal/mol of atoms
**E_tot**: -10.683 eV per atom
**D(E_F)**: 2.196 states/eV/atom

Here is a relaxed PuFe2Si crystal from Alexandria. Energies are from PBE-GGA.

```
PuFe2Si
1.0
0.000 3.064 3.064
3.064 0.000 3.064
3.064 3.064 0.000
Pu Fe Si
1 2 1
Direct
0.000 0.000 0.000 Pu
0.250 0.250 0.250 Fe
0.750 0.750 0.750 Fe
0.500 0.500 0.500 Si
```

Results
**Mass density**: 11.08 Mg/m³
**Magnetization**: 1.9 μB/f.u.
**Uncorrected formation energy**: -4.19 kcal/mol of atoms
**E_tot**: -9.352 eV per atom
**D(E_F)**: 1.138 states/eV/atom

Here is a relaxed PuFe4Si crystal from Alexandria. Energies are from PBE-GGA.

```
PuFe4Si
1.0
0.000 3.439 3.439
3.439 0.000 3.439
3.439 3.439 0.000
Pu Fe Si
1 4 1
Direct
0.000 0.000 0.000 Pu
0.131 0.623 0.623 Fe
0.623 0.131 0.623 Fe
0.623 0.623 0.131 Fe
0.623 0.623 0.623 Fe
0.250 0.250 0.250 Si
```

Results
**Mass density**: 10.11 Mg/m³
**Magnetization**: 1.9 μB/f.u.
**Uncorrected formation energy**: -1.01 kcal/mol of atoms
**E_tot**: -8.978 eV per atom
**D(E_F)**: 1.900 states/eV/atom